(1)
{"formula": "CaIn3Hg9", "functional": "PBE-GGA", "state": "optimized geometry", "lattice_angstrom": [[4.1461, 7.9963, 1.0217], [-4.1461, 7.9963, 1.0217], [0.0000, 7.8496, 11.7782]], "species": ["Hg", "Hg", "Hg", "Hg", "Hg", "Hg", "Hg", "Hg", "Hg", "Hg", "Hg", "Hg", "Hg", "Hg", "Hg", "Hg", "Hg", "Hg", "In", "In", "In", "In", "In", "In", "Ca", "Ca"], "frac_coords": [[0.5430, 0.6888, 0.4995], [0.3035, 0.3930, 0.0210], [0.9299, 0.7434, 0.0007], [0.3401, 0.8320, 0.9218], [0.4617, 0.9586, 0.2359], [0.1817, 0.0654, 0.5001], [0.3349, 0.4177, 0.7707], [0.0776, 0.6241, 0.1910], [0.8320, 0.3401, 0.4218], [0.6241, 0.0776, 0.6910], [0.0654, 0.1817, 0.0001], [0.7438, 0.1797, 0.9730], [0.4177, 0.3349, 0.2707], [0.6888, 0.5430, 0.9995], [0.3930, 0.3035, 0.5210], [0.9586, 0.4617, 0.7359], [0.1797, 0.7438, 0.4730], [0.7434, 0.9299, 0.5007], [0.6315, 0.5417, 0.2403], [0.0408, 0.1407, 0.2384], [0.7780, 0.9764, 0.2538], [0.5417, 0.6315, 0.7403], [0.1407, 0.0408, 0.7384], [0.9764, 0.7780, 0.7538], [0.9932, 0.5142, 0.4760], [0.5142, 0.9932, 0.9760]], "space_group": "Cc, No. 9", "delta_e_f_ev_per_atom": -0.09}

***

(2)
{"formula": "Ca3In3Hg", "functional": "PBE-GGA", "state": "optimized geometry", "lattice_angstrom": [[4.5925, 0.0000, 0.6918], [2.2580, 5.8335, 0.5998], [0.0206, 0.1396, 15.4529]], "species": ["In", "In", "In", "In", "In", "In", "Ca", "Ca", "Ca", "Ca", "Ca", "Ca", "Hg", "Hg"], "frac_coords": [[0.0154, 0.1973, 0.7719], [0.8888, 0.1459, 0.0765], [0.9846, 0.8027, 0.2281], [0.8642, 0.7332, 0.5384], [0.1112, 0.8541, 0.9235], [0.1358, 0.2668, 0.4616], [0.5277, 0.3256, 0.6190], [0.4723, 0.6744, 0.3810], [0.7352, 0.7591, 0.7704], [0.3910, 0.2944, 0.9236], [0.6090, 0.7056, 0.0764], [0.2648, 0.2409, 0.2296], [0.2348, 0.9099, 0.6205], [0.7652, 0.0901, 0.3795]], "space_group": "C2/m, No. 12", "delta_e_f_ev_per_atom": -0.42}

***

(3)
{"formula": "CaInHg4", "functional": "PBE-GGA", "state": "optimized geometry", "lattice_angstrom": [[5.2681, 0.0000, 0.0000], [0.0000, 8.2611, 0.0000], [-2.6340, 0.0000, 7.8016]], "species": ["In", "In", "Ca", "Ca", "Hg", "Hg", "Hg", "Hg", "Hg", "Hg", "Hg", "Hg"], "frac_coords": [[0.1458, 0.7500, 0.2915], [0.8542, 0.2500, 0.7085], [0.6384, 0.2500, 0.2768], [0.3616, 0.7500, 0.7232], [0.0000, 0.0000, 0.0000], [0.7749, 0.5762, 0.5498], [0.7749, 0.9238, 0.5498], [0.2251, 0.4238, 0.4502], [0.0000, 0.5000, 0.0000], [0.4414, 0.2500, 0.8828], [0.5586, 0.7500, 0.1172], [0.2251, 0.0762, 0.4502]], "space_group": "Cmcm, No. 63", "delta_e_f_ev_per_atom": -0.16, "polymorph_energy_mev_per_atom": 91}

***

(4)
{"formula": "Ca3In3Hg8", "functional": "PBE-GGA", "state": "optimized geometry", "lattice_angstrom": [[4.4961, 0.0000, -0.9380], [-1.0947, 9.9399, -5.2471], [-0.4240, -1.5991, 9.2119]], "species": ["Hg", "Hg", "Hg", "Hg", "Hg", "Hg", "Hg", "Hg", "Ca", "Ca", "Ca", "In", "In", "In"], "frac_coords": [[0.3466, 0.0497, 0.6932], [0.8557, 0.2285, 0.7113], [0.1443, 0.5172, 0.2887], [0.8557, 0.4828, 0.7113], [0.3466, 0.6434, 0.6932], [0.6534, 0.3566, 0.3068], [0.1443, 0.7715, 0.2887], [0.6534, 0.9503, 0.3068], [0.2097, 0.2097, 0.4194], [0.5000, 0.5000, 0.0000], [0.7903, 0.7903, 0.5806], [0.5000, 0.0000, 0.0000], [0.0000, 0.8169, 0.0000], [0.0000, 0.1831, 0.0000]], "space_group": "Immm, No. 71", "delta_e_f_ev_per_atom": -0.28}

***

(5)
{"formula": "Ca2InHg16", "functional": "PBE-GGA", "state": "optimized geometry", "lattice_angstrom": [[8.5297, 1.6979, 2.8520], [2.5486, 8.3152, 2.8520], [1.8785, 1.6979, 8.7955]], "species": ["Hg", "Hg", "Hg", "Hg", "Hg", "Hg", "Hg", "Hg", "Hg", "Hg", "Hg", "Hg", "Hg", "Hg", "Hg", "Hg", "Ca", "Ca", "In"], "frac_coords": [[0.9992, 0.6763, 0.3221], [0.3221, 0.9992, 0.6763], [0.4284, 0.8000, 0.4284], [0.5676, 0.1976, 0.5676], [0.8000, 0.4284, 0.4284], [0.6763, 0.9992, 0.3221], [0.5170, 0.9938, 0.9938], [0.9938, 0.9938, 0.5170], [0.0959, 0.0959, 0.0959], [0.5676, 0.5676, 0.1976], [0.1976, 0.5676, 0.5676], [0.6763, 0.3221, 0.9992], [0.9992, 0.3221, 0.6763], [0.3221, 0.6763, 0.9992], [0.4284, 0.4284, 0.8000], [0.9938, 0.5170, 0.9938], [0.7315, 0.7315, 0.7315], [0.2617, 0.2617, 0.2617], [0.9217, 0.9217, 0.9217]], "space_group": "R3m, No. 160", "delta_e_f_ev_per_atom": -0.12}

***

(6)
{"formula": "CaInHg2", "functional": "PBE-GGA", "state": "optimized geometry", "lattice_angstrom": [[-0.7795, -0.3614, -3.8521], [-3.2468, -1.9047, -1.1862], [-5.6843, 6.5246, -1.4838]], "species": ["Hg", "Hg", "In", "Ca"], "frac_coords": [[0.0862, 0.0862, 0.7413], [0.2473, 0.2473, 0.2581], [0.4998, 0.4998, 0.5005], [0.6666, 0.6666, 0.0001]], "space_group": "R3m, No. 160", "delta_e_f_ev_per_atom": -0.25}